The following is a DFT calculation (PBE) of an optimized crystal structure of HfTiNbIr.

Cell and atoms, written as POSCAR:
```
HfTiNbIr
1.0
-2.002 1.498 2.030
-2.205 -2.299 -0.478
2.559 -3.520 5.121
Hf Ti Ir Nb
1 1 1 1
Direct
0.500 0.500 0.621
0.500 0.500 0.096
0.000 0.000 0.867
0.000 0.000 0.345
```

Distance to the lowest polymorph of the same formula (meV per atom): 0
E (eV/atom): -9.668
Formation energy (kcal/mol of atoms): -10.92
SG: P4mm (99)

---

The following is a DFT calculation (PBE) of an optimized crystal structure of Ac3LaY2Se6.

Cell and atoms, written as POSCAR:
```
Ac3LaY2Se6
1.0
-0.466 -7.276 1.179
5.242 3.975 3.358
-6.063 2.295 4.033
Se Ac Y La
6 3 2 1
Direct
0.730 0.730 0.223
0.270 0.270 0.777
0.420 0.076 0.229
0.076 0.420 0.229
0.924 0.580 0.771
0.580 0.924 0.771
0.500 0.500 0.500
0.838 0.162 0.500
0.162 0.838 0.500
0.333 0.667 0.000
0.667 0.333 0.000
0.000 0.000 0.000
```

E_form (uncorrected) (eV/atom): -1.85
E (eV/atom): -6.104
SG: C2/m (12)

---

The following is a DFT calculation (PBE) of an optimized crystal structure of Sm6Gd.

Cell and atoms, written as POSCAR:
```
Sm6Gd
1.0
7.045 0.000 0.000
-2.348 6.642 0.000
-2.348 -3.321 5.752
Sm Gd
6 1
Direct
0.250 0.750 0.500
0.750 0.500 0.250
0.500 0.250 0.750
0.500 0.750 0.250
0.250 0.500 0.750
0.750 0.250 0.500
0.000 0.000 0.000
```

E (eV/atom): -4.794
Formation energy (kcal/mol of atoms): 29.13
SG: Im-3m (229)

---

The following is a DFT calculation (PBE) of an optimized crystal structure of Mg2In7.

Cell and atoms, written as POSCAR:
```
Mg2In7
1.0
5.727 0.000 0.000
-2.863 4.959 0.000
0.000 0.000 8.138
In Mg
7 2
Direct
0.000 0.000 0.000
0.336 0.000 0.674
0.336 0.336 0.326
0.000 0.664 0.326
0.664 0.000 0.326
0.000 0.336 0.674
0.664 0.664 0.674
0.333 0.667 0.000
0.667 0.333 0.000
```

E (eV/atom): -2.490
Formation energy (kcal/mol of atoms): -0.14
SG: P-31m (162)

---

The following is a DFT calculation (PBE) of an optimized crystal structure of MnFeAg2.

Cell and atoms, written as POSCAR:
```
MnFeAg2
1.0
-0.037 -2.498 8.891
-2.372 -3.828 8.063
0.137 -5.053 7.729
Ag Fe Mn
2 1 1
Direct
0.004 0.004 0.004
0.245 0.245 0.245
0.495 0.495 0.495
0.756 0.756 0.756
```

Distance to the lowest polymorph of the same formula (meV per atom): 54
E (eV/atom): -5.523
Formation energy (kcal/mol of atoms): 7.17
SG: R3m (160)

---

The following is a DFT calculation (PBE) of an optimized crystal structure of LaDy3Cu.

Cell and atoms, written as POSCAR:
```
LaDy3Cu
1.0
5.409 0.000 0.000
0.000 5.409 0.000
0.000 0.000 5.409
Dy Cu La
3 1 1
Direct
0.500 0.000 0.000
0.000 0.500 0.000
0.000 0.000 0.500
0.000 0.000 0.000
0.500 0.500 0.500
```

E (eV/atom): -4.511
Formation energy (kcal/mol of atoms): 1.27
SG: Pm-3m (221)